VASP calculation (GGA+U) on a relaxed structure of VGaOsO6.

a b c (Å): 4.9597 4.9597 8.9414
angles (deg): 90.00 90.00 120.00
Closest atoms and distances in Å follow each position.
Fractional positions:
Os: 0.3333 0.6667 0.7500  6 O 1.96
Os: 0.6667 0.3333 0.2500  6 O 1.96
O: 0.6694 0.6616 0.1275  1 Os 1.96, 1 V 2.01, 1 Ga 2.01
O: 0.3306 0.9922 0.6275  1 Os 1.96, 1 V 2.01, 1 Ga 2.01
O: 0.6616 0.9922 0.8725  1 Os 1.96, 1 V 2.01, 1 Ga 2.01
O: 0.9922 0.3306 0.1275  1 Os 1.96, 1 V 2.01, 1 Ga 2.01
O: 0.9922 0.6616 0.3725  1 Os 1.96, 1 V 2.01, 1 Ga 2.01
O: 0.3306 0.3384 0.8725  1 Os 1.96, 1 V 2.01, 1 Ga 2.01
O: 0.3384 0.3306 0.3725  1 Os 1.96, 1 V 2.01, 1 Ga 2.01
O: 0.0078 0.3384 0.6275  1 Os 1.96, 1 V 2.01, 1 Ga 2.01
O: 0.0078 0.6694 0.8725  1 Os 1.96, 1 V 2.01, 1 Ga 2.01
O: 0.6616 0.6694 0.6275  1 Os 1.96, 1 V 2.01, 1 Ga 2.01
O: 0.6694 0.0078 0.3725  1 Os 1.96, 1 V 2.01, 1 Ga 2.01
O: 0.3384 0.0078 0.1275  1 Os 1.96, 1 V 2.01, 1 Ga 2.01
Ga: 0.0000 0.0000 0.0000  6 O 2.01
Ga: 0.0000 0.0000 0.5000  6 O 2.01
V: 0.3333 0.6667 0.2500  6 O 2.01
V: 0.6667 0.3333 0.7500  6 O 2.01

Space-group type: P-31c (163)
Total magnetic moment (Bohr magnetons per cell): 0.1
Energy (eV/atom): -7.132